1.
This record from Alexandria via LeMat-Bulk describes a geometry-optimized Li3Sn5H12 structure. The functional is PBE-GGA.

Unit cell a=12.779 b=12.779 c=12.779 alpha=90.00 beta=90.00 gamma=90.00
Space group Ia-3d (No. 230)
Symmetry-distinct sites (fractional):
Li 0.000 0.250 0.125 (multiplicity 24)
Sn 0.000 0.000 0.000 (multiplicity 16)
Sn 0.000 0.250 0.375 (multiplicity 24)
H 0.046 0.089 0.612 (multiplicity 96)

* crystal system: cubic
* uncorrected energy: -2.97 eV per atom



2.
This record from Alexandria via LeMat-Bulk describes a geometry-optimized MgPaGe2Rh5 structure. The functional is PBE-GGA.

Unit cell a=4.143 b=4.143 c=8.603 alpha=90.00 beta=90.00 gamma=90.00
Space group P4/mmm (No. 123)
Symmetry-distinct sites (fractional):
Mg 0.000 0.000 0.000 (multiplicity 1)
Pa 0.000 0.000 0.500 (multiplicity 1)
Ge 0.500 0.500 0.358 (multiplicity 2)
Rh 0.000 0.500 0.217 (multiplicity 4)
Rh 0.500 0.500 0.000 (multiplicity 1)

* formation energy: -0.55 eV per atom
* crystal system: tetragonal



3.
This record from Alexandria via LeMat-Bulk describes a geometry-optimized KHg2C structure. The functional is PBE-GGA.

Unit cell a=7.043 b=7.043 c=10.003 alpha=90.00 beta=90.00 gamma=90.00
Space group I4_1/amd (No. 141, origin choice 2)
Symmetry-distinct sites (fractional):
K 0.000 0.250 0.375 (multiplicity 4)
Hg 0.000 0.000 0.000 (multiplicity 8)
C 0.000 0.250 0.875 (multiplicity 4)

* formation energy: 0.69 eV per atom
* crystal system: tetragonal



Number 1: total moment 0.0000 μB/atom. Number 2: total moment 0.0000 μB/atom. Number 3: total moment 0.0000 μB/atom.